1.
Computed, not measured: an optimized crystal structure of NaErHgAu at the PBE-GGA level of DFT.

Calculated values
For the total magnetization, the calculation gives 0.00 μB/f.u.

POSCAR file:
```
NaErHgAu
1.0
7.140 0.000 0.000
0.000 7.140 0.000
0.000 0.000 7.140
Na Er Hg Au
4 4 4 4
Cartesian
0.000 0.000 0.000 Na
0.000 3.570 3.570 Na
3.570 0.000 3.570 Na
3.570 3.570 0.000 Na
0.000 0.000 3.570 Er
0.000 3.570 0.000 Er
3.570 0.000 0.000 Er
3.570 3.570 3.570 Er
1.785 1.785 5.355 Hg
1.785 5.355 1.785 Hg
5.355 1.785 1.785 Hg
5.355 5.355 5.355 Hg
1.785 1.785 1.785 Au
1.785 5.355 5.355 Au
5.355 1.785 5.355 Au
5.355 5.355 1.785 Au
```

=====

2.
Computed, not measured: an optimized crystal structure of ErNiHgAu at the PBE-GGA level of DFT.

Calculated values
For the total magnetization, the calculation gives 0.00 μB/f.u.

POSCAR file:
```
ErNiHgAu
1.0
6.744 0.000 0.000
0.000 6.744 0.000
0.000 0.000 6.744
Er Ni Hg Au
4 4 4 4
Cartesian
0.000 0.000 0.000 Er
0.000 3.372 3.372 Er
3.372 0.000 3.372 Er
3.372 3.372 0.000 Er
1.686 1.686 1.686 Ni
1.686 5.058 5.058 Ni
5.058 1.686 5.058 Ni
5.058 5.058 1.686 Ni
0.000 0.000 3.372 Hg
0.000 3.372 0.000 Hg
3.372 0.000 0.000 Hg
3.372 3.372 3.372 Hg
1.686 1.686 5.058 Au
1.686 5.058 1.686 Au
5.058 1.686 1.686 Au
5.058 5.058 5.058 Au
```

=====

3.
Computed, not measured: an optimized crystal structure of ErPaHgAu at the PBE-GGA level of DFT.

Calculated values
For the total magnetization, the calculation gives 1.52 μB/f.u.

POSCAR file:
```
ErPaHgAu
1.0
7.313 0.000 0.000
0.000 7.313 0.000
0.000 0.000 7.313
Er Pa Hg Au
4 4 4 4
Cartesian
0.000 0.000 0.000 Er
0.000 3.657 3.657 Er
3.657 0.000 3.657 Er
3.657 3.657 0.000 Er
0.000 0.000 3.657 Pa
0.000 3.657 0.000 Pa
3.657 0.000 0.000 Pa
3.657 3.657 3.657 Pa
1.828 1.828 1.828 Hg
1.828 5.485 5.485 Hg
5.485 1.828 5.485 Hg
5.485 5.485 1.828 Hg
1.828 1.828 5.485 Au
1.828 5.485 1.828 Au
5.485 1.828 1.828 Au
5.485 5.485 5.485 Au
```

=====

| no. | calculated total energy (eV/atom) |
| --- | --- |
| 1 | -2.796 |
| 2 | -3.839 |
| 3 | -4.642 |